Record 1
Density functional theory data (PBE-GGA) for Zn3P2H8O12 after structural relaxation.

Geometry as extended XYZ:
```
100
Lattice="5.0254 0.0000 0.0000 0.0000 10.8242 0.0000 0.0000 0.0000 19.0331" Properties=species:S:1:pos:R:3 pbc="T T T"
H 2.5648 1.4755 15.0378
H 4.9732 6.8876 15.0378
H 2.3426 4.2510 2.7426
O 0.3659 6.7230 7.9211
H 4.2454 2.5942 16.4790
O 4.1475 10.5049 8.0169
H 0.7800 8.2300 2.5540
O 0.7050 8.9697 6.3063
Zn 1.1420 1.5656 18.9840
O 3.6937 9.6758 14.2748
O 3.1669 7.4818 0.6934
O 1.8077 3.5576 3.2103
H 4.3197 9.5946 15.0401
O 1.6349 5.7314 11.0162
H 2.4606 9.3487 3.9953
P 3.8582 6.5473 7.7319
O 3.2177 7.2666 12.7268
O 3.1669 7.4818 8.8231
P 1.3455 9.6890 17.2484
O 1.5836 3.8743 15.8375
H 1.8070 6.6417 3.9930
H 2.4606 9.3487 5.5212
H 1.7327 2.8179 2.5540
O 1.8077 3.5576 6.3063
H 3.2184 4.1825 13.5095
O 2.1468 1.3108 7.9211
Zn 4.5308 7.8551 4.7583
H 2.6827 6.5732 12.2592
O 4.4527 3.9674 4.7583
H 2.3426 4.2510 6.7739
Zn 3.8834 9.2587 9.4675
P 3.6799 1.1352 1.7847
Zn 3.8834 9.2587 0.0491
O 4.6595 4.1013 11.1120
O 0.9291 9.2864 15.8375
O 1.9401 1.4447 14.2748
H 1.7327 2.8179 6.9625
O 4.0963 1.5379 3.1955
O 4.6595 4.1013 17.4376
O 3.2177 7.2666 15.8228
P 1.1672 4.2769 17.2484
Zn 3.0072 2.4430 4.7583
O 3.3905 5.0928 8.0169
O 1.3316 1.1485 4.7583
O 1.8585 3.3424 18.3396
P 1.3455 9.6890 11.3012
O 0.7050 8.9697 3.2103
O 3.4418 6.9500 3.1955
Zn 1.3707 6.9777 18.9840
H 0.7057 1.2296 5.5235
O 3.3905 5.0928 1.4997
O 1.5836 3.8743 12.7121
H 0.1700 9.6631 2.7426
O 0.8778 0.3193 11.0162
P 3.6799 1.1352 7.7319
H 2.6827 6.5732 16.2904
H 1.8070 6.6417 5.5235
O 0.6542 8.7545 10.2100
H 0.0521 3.9366 5.5212
H 0.1700 9.6631 6.7739
O 1.1811 6.5606 4.7583
H 4.9732 6.8876 13.5118
H 4.2454 2.5942 12.0706
H 0.7057 1.2296 3.9930
O 4.3711 2.0697 8.8231
O 4.3204 1.8545 15.8228
H 0.7800 8.2300 6.9625
O 0.3659 6.7230 1.5954
Zn 0.4946 2.9691 14.2748
O 2.8786 9.5134 11.1120
O 3.8443 4.2637 14.2748
Zn 3.6546 3.8465 9.4675
P 1.1672 4.2769 11.3012
H 3.2184 4.1825 15.0401
O 3.4418 6.9500 6.3210
O 4.1475 10.5049 1.4997
O 4.3711 2.0697 0.6934
O 0.8778 0.3193 17.5334
O 3.0853 9.3795 4.7583
O 0.5726 6.8568 14.2748
O 1.6349 5.7314 17.5334
O 2.1468 1.3108 1.5954
H 3.2926 8.0063 16.4790
Zn 1.3707 6.9777 9.5656
O 4.0963 1.5379 6.3210
H 0.0521 3.9366 3.9953
H 4.8553 1.1611 16.2904
H 4.8553 1.1611 12.2592
O 0.9291 9.2864 12.7121
Zn 2.0181 8.3812 14.2748
Zn 1.1420 1.5656 9.5656
H 4.3197 9.5946 13.5095
O 1.8585 3.3424 10.2100
O 0.6542 8.7545 18.3396
P 3.8582 6.5473 1.7847
Zn 3.6546 3.8465 0.0491
H 3.2926 8.0063 12.0706
O 2.8786 9.5134 17.4376
O 4.3204 1.8545 12.7268
H 2.5648 1.4755 13.5118
```

Calculated values
- spin magnetization (μB per cell) = 0.0
- total energy (Ha/atom) = -0.2037
- calculated volume (Å³ per cell) = 1035.3



Record 2
Density functional theory data (PBE-GGA) for ZnP2HO after structural relaxation.

Geometry as extended XYZ:
```
5
Lattice="4.7777 0.0000 0.0000 0.0000 4.7777 0.0000 0.0000 0.0000 3.6135" Properties=species:S:1:pos:R:3 pbc="T T T"
Zn 0.0000 0.0000 0.0000
P 2.3889 0.0000 0.0000
O 0.0000 0.0000 1.8068
H 2.3889 2.3889 1.8068
P 0.0000 2.3889 0.0000
```

Calculated values
- spin magnetization (μB per cell) = 0.0
- offset from the most stable computed form (eV per atom) = 0.678
- calculated volume (Å³ per cell) = 82.5



Record 3
Density functional theory data (PBE-GGA) for ZnPH3O5 after structural relaxation.

Geometry as extended XYZ:
```
60
Lattice="-3.6920 -4.8674 2.1838 3.2816 -0.8757 7.0299 -7.0583 6.3886 8.1359" Properties=species:S:1:pos:R:3 pbc="T T T"
H -1.8394 -1.1715 2.1819
Zn -1.9254 -4.3993 10.4525
P -2.6749 1.4994 4.2874
H -5.6294 1.8171 15.1677
H -4.6729 2.4081 10.0602
O -6.0158 4.1945 11.5506
Zn -1.4933 1.5862 8.6885
H -1.6504 -3.9059 7.7805
O -1.5027 0.5452 4.7922
O -5.4822 2.8689 6.7896
O 0.4721 0.5183 9.7958
H -6.5404 1.8573 16.4323
O -3.9968 1.1067 4.9794
Zn -2.5539 1.3147 11.8033
Zn -4.9149 -0.6691 5.5463
O -1.9866 -2.2233 10.5600
H -0.9699 -0.6106 7.5659
O -1.4530 -3.5489 5.7990
O -5.9661 0.1004 12.5574
P -2.8098 -1.3501 9.5774
H -5.8184 4.5515 9.5691
H -0.4737 -3.6397 5.5398
O 1.5168 -1.6919 8.2907
H 2.3219 -0.6056 5.8200
H -6.4988 1.2562 9.7837
H -6.5405 0.1927 10.9750
H -1.5137 -0.4282 4.4141
O -2.5842 0.1594 9.7540
O -6.0848 5.2164 8.8947
Zn -5.5434 5.0449 6.8971
O -5.9118 -1.9525 6.9027
O -7.9409 0.1273 7.5539
P -5.0686 3.3481 12.5130
O -8.9856 2.3375 9.0589
P -2.4002 -2.7026 4.8366
H -5.9551 1.0738 12.9355
P -4.7939 -0.8538 13.0622
P -4.6589 1.9957 7.7722
Zn -5.9754 -0.9406 8.6611
O -4.2158 2.4787 11.5627
H -0.9284 -1.2117 0.9173
O -4.3100 -1.7274 9.6547
O -1.4978 -1.8220 3.9252
O -3.4720 -0.4611 12.3702
O -4.2153 4.3249 13.3370
O -5.9710 2.4676 13.4244
O -3.2530 -1.8331 5.7869
O -0.6253 0.2864 7.3159
H -2.7958 -1.7626 7.2894
H -9.7907 1.2511 11.5296
O -1.3840 -4.5708 8.4549
O -4.8846 0.4861 7.5956
O -6.8435 0.3592 10.0337
O -3.2534 -3.6793 4.0126
O -1.5570 2.5980 10.4469
H -0.9283 0.4528 6.3746
O -5.2407 2.4256 9.2074
O -3.1587 2.3730 7.6949
O -2.2280 -1.7800 8.1422
H -6.9951 4.2853 11.8098
```

Calculated values
- spin magnetization (μB per cell) = 0.0
- total energy (Ha/atom) = -0.2102
- calculated volume (Å³ per cell) = 595.9



Record 4
Density functional theory data (PBE-GGA) for ZrP2H2O8 after structural relaxation.

Geometry as extended XYZ:
```
52
Lattice="-8.9509 -1.9564 3.4027 3.8789 -7.5613 -4.8276 5.7693 1.9999 7.6315" Properties=species:S:1:pos:R:3 pbc="T T T"
O -2.1675 -4.2440 5.1497
O -4.7899 -2.7977 4.8237
O 2.1848 -1.7475 4.1080
P -4.8972 -1.2927 5.0454
O 5.0212 -6.2935 3.6135
H 5.6169 -5.6910 4.1181
O -0.7736 -0.9374 9.2277
O -1.4616 -5.7216 2.1059
P 3.4581 -2.5753 4.6347
O -3.3932 -6.0178 0.5977
O -3.5424 -0.5957 4.9209
O 4.0517 -6.5300 -3.2351
O 1.5255 -7.5113 2.6483
O 0.2525 0.5164 6.2646
O 1.4969 -6.5317 -3.0138
O -0.8974 -0.1365 3.5388
Zr -3.8318 -7.1905 -1.0765
O -3.2123 -1.2268 9.4780
O 0.1229 -4.1888 6.2112
P -2.1875 -0.2163 8.9735
O 4.3575 -2.9230 3.4468
H -0.8769 -5.1144 2.6175
P -2.7922 -5.0016 1.5630
O 2.8508 -3.8264 5.2606
O -5.4378 -1.1600 6.5534
H 1.5404 -5.6125 -2.6594
O 0.4075 -3.4576 0.3145
Zr -1.6186 -0.0304 5.5093
P 2.8534 -7.3606 -2.7757
O -3.7294 -4.7247 2.7403
O -2.4213 -3.6941 0.8632
P 5.3093 -6.2807 2.0322
O 2.7566 0.5687 6.5851
H -6.6175 -5.0130 1.6115
O 1.6355 -6.4643 4.9262
O 4.2296 -1.7389 5.6555
P -0.8519 -3.4817 5.2675
O -2.0309 -8.2178 -0.7365
Zr 4.7963 -2.8329 1.3941
P 1.7714 -4.0986 0.0504
O 1.7411 -5.6017 0.3062
H -1.5209 -7.7974 2.0683
O -1.0643 -2.0349 5.7130
H 0.5202 -2.9066 3.6613
O 5.3698 -4.8376 1.5314
H -0.0050 -0.3327 9.1015
Zr -1.2958 -2.4316 -0.3640
O -0.2539 -3.5066 3.7757
O 2.8534 -3.3979 0.8721
O 2.1170 -3.9780 -1.5147
H 2.4122 -0.8308 3.8245
O -1.2091 -1.0561 1.2080
```

Calculated values
- spin magnetization (μB per cell) = 0.0
- total energy (Ha/atom) = -0.2690
- calculated volume (Å³ per cell) = 717.3



Record 5
Density functional theory data (PBE-GGA) for ZrPH2O after structural relaxation.

Geometry as extended XYZ:
```
5
Lattice="3.1356 0.0000 0.0000 0.0000 6.7341 0.0000 0.0000 0.0000 3.1356" Properties=species:S:1:pos:R:3 pbc="T T T"
H 1.5678 0.0000 0.0000
Zr 1.5678 3.3670 1.5678
O 0.0000 3.3670 0.0000
H 0.0000 0.0000 1.5678
P 0.0000 0.0000 0.0000
```

Calculated values
- spin magnetization (μB per cell) = 0.0
- total energy (Ha/atom) = -0.2032
- calculated volume (Å³ per cell) = 66.2



Record 6
Density functional theory data (PBE-GGA) for ZrP2HO7 after structural relaxation.

Geometry as extended XYZ:
```
22
Lattice="2.7520 -4.7666 0.0000 2.7520 4.7666 0.0000 0.0000 0.0000 12.8910" Properties=species:S:1:pos:R:3 pbc="T T T"
P 2.7520 1.5889 8.0974
O 2.7520 1.5889 6.5498
O 2.7512 3.0573 1.8887
O 1.4949 0.8632 8.6107
O 4.0092 -0.8632 4.2802
O 4.0090 0.8630 8.6107
O 1.4808 0.8540 1.8887
H 2.7520 1.5889 0.0431
O 1.4799 -0.8554 11.0022
P 2.7520 -1.5889 4.7935
P 2.7520 1.5889 1.4479
O 4.0233 -0.8540 11.0022
O 2.7528 -3.0573 11.0022
O 2.7520 -1.5889 6.3411
O 2.7519 -3.0404 4.2802
O 1.4950 -0.8630 4.2802
O 2.7521 3.0404 8.6107
Zr 0.0000 0.0000 3.1143
P 2.7520 -1.5889 11.4431
Zr 0.0000 0.0000 9.7766
H 2.7520 -1.5889 12.8479
O 4.0241 0.8554 1.8887
```

Calculated values
- spin magnetization (μB per cell) = 2.0
- total energy (Ha/atom) = -0.2704
- calculated volume (Å³ per cell) = 338.2



Record 7
Density functional theory data (PBE-GGA) for ZrP2H6O10 after structural relaxation.

Geometry as extended XYZ:
```
38
Lattice="-4.9156 -2.4168 -3.8663 3.6698 -1.3232 -3.8387 3.0291 -11.8187 3.5368" Properties=species:S:1:pos:R:3 pbc="T T T"
P 0.2833 -10.3486 -1.5112
H 4.2550 -10.0667 -1.6629
O 1.0748 -5.7195 0.9173
O 5.3342 -11.4892 -0.2754
O -1.9021 -6.2791 -2.3922
O 2.0743 -9.1678 -4.0112
O 1.1707 -3.9099 -1.7492
Zr -0.1273 -2.3243 -1.2126
O 1.3831 -9.8097 -0.5186
Zr 1.9777 -13.2015 -2.9028
O 0.7833 -11.5650 -2.2847
H -1.5413 -8.7579 -0.5428
P 4.4554 -12.7408 -0.5196
O 0.5918 -1.2295 -2.7936
O 2.3143 -2.1404 -4.3907
H 4.4299 -7.7779 -2.3263
H 2.2873 -9.6040 -0.9303
H 3.2647 -9.3618 -2.6920
P -2.5982 -2.7816 -3.5904
H -1.4502 -6.4200 -3.9821
H 1.7092 -6.2088 -0.5165
O -3.5018 -3.9977 -3.8630
O -1.6642 -3.1420 -2.4088
O -1.2787 -6.5746 -4.9700
O -0.9766 -10.5754 -0.6694
O 3.6722 -9.2862 -1.7863
H 3.9529 -6.4920 -3.1312
H 0.6509 -9.0664 -3.1980
O 1.2735 -14.2890 -1.3101
O -0.1056 -9.2147 -2.5387
P 2.4302 -4.7529 -1.9254
O 2.9275 -4.9010 -3.3669
H -1.5046 -7.2194 -0.9437
O 2.1315 -6.2248 -1.4387
H -2.1666 -5.3421 -2.2653
O 3.5144 -12.4317 -1.6979
H -2.7385 -6.8151 -2.4648
O -0.4291 -13.3683 0.3026
```

Calculated values
- spin magnetization (μB per cell) = 0.0
- total energy (Ha/atom) = -0.2412
- calculated volume (Å³ per cell) = 457.7



Record 8
Density functional theory data (PBE-GGA) for PaHO after structural relaxation.

Geometry as extended XYZ:
```
6
Lattice="3.6716 0.0000 1.0697 1.6800 3.2647 1.0697 0.0727 0.0444 6.5862" Properties=species:S:1:pos:R:3 pbc="T T T"
Pa 1.3459 0.8211 2.2162
O 0.6959 0.4245 4.4473
O 4.7283 2.8845 4.2784
H 2.0602 1.2568 6.6005
H 3.3641 2.0522 2.1251
Pa 4.0783 2.4880 6.5094
```

Calculated values
- spin magnetization (μB per cell) = 0.4
- offset from the most stable computed form (eV per atom) = 0.009
- calculated volume (Å³ per cell) = 78.6



Record 9
Density functional theory data (PBE-GGA) for Pa2HO after structural relaxation.

Geometry as extended XYZ:
```
4
Lattice="-1.3124 2.8421 1.1514 -1.1928 0.1459 3.1116 4.7866 2.7523 3.4936" Properties=species:S:1:pos:R:3 pbc="T T T"
Pa 0.5770 1.4372 1.9416
O 0.0000 0.0000 0.0000
Pa 1.7044 4.3032 5.8150
H 1.1407 2.8702 3.8783
```

Calculated values
- spin magnetization (μB per cell) = 0.0
- total energy (Ha/atom) = -0.2952
- calculated volume (Å³ per cell) = 60.2



Record 10
Density functional theory data (PBE-GGA) for PaHO after structural relaxation.

Geometry as extended XYZ:
```
12
Lattice="-2.1701 -3.1055 -0.4347 3.8479 -2.2849 -2.8862 3.0096 -2.9968 6.3848" Properties=species:S:1:pos:R:3 pbc="T T T"
O 4.4043 -4.1640 -0.6035
H 2.5090 -3.0444 0.8598
H 2.1034 -3.4083 5.4853
H 2.1783 -5.3428 2.2041
Pa 2.2763 -3.2021 3.1488
O 0.6605 -3.8425 -0.9368
Pa 3.8882 -6.6671 3.1284
Pa 2.4110 -5.1851 -0.0848
H 2.5839 -4.9789 -2.4213
O 4.0269 -4.5447 4.0008
O 0.2830 -4.2233 3.6675
Pa 0.7991 -1.7201 -0.0645
```

Calculated values
- spin magnetization (μB per cell) = 0.1
- offset from the most stable computed form (eV per atom) = 0.000
- calculated volume (Å³ per cell) = 155.7



Record 11
Density functional theory data (PBE-GGA) for Pa2H2O5 after structural relaxation.

Geometry as extended XYZ:
```
9
Lattice="4.2181 0.0948 0.3115 -0.1942 4.1361 1.3702 -0.5433 -0.2108 7.5008" Properties=species:S:1:pos:R:3 pbc="T T T"
O 1.7844 3.5099 3.5408
H 2.0028 1.9974 1.1959
O 3.7489 2.8275 5.8792
Pa 3.8047 0.5558 5.8028
O 1.6962 0.5102 5.6417
Pa -0.3241 3.4643 3.3797
O -0.2683 1.1926 3.3033
O 0.0000 0.0000 0.0000
H 1.4779 2.0227 7.9866
```

Calculated values
- spin magnetization (μB per cell) = 0.0
- total energy (Ha/atom) = -0.3076
- calculated volume (Å³ per cell) = 132.9



Record 12
Density functional theory data (PBE-GGA) for Pa2H2O7 after structural relaxation.

Geometry as extended XYZ:
```
11
Lattice="4.3001 -0.9534 -0.8104 -0.7795 5.2805 -1.8810 -0.8078 -1.5970 6.5744" Properties=species:S:1:pos:R:3 pbc="T T T"
O 2.4471 -0.9895 1.9244
O 0.2658 3.7197 1.9585
O 2.4407 2.0272 2.1414
O 0.2722 0.7030 1.7415
O -0.2321 0.9124 4.7012
H -0.5982 3.4419 2.4634
Pa 0.8890 2.2352 0.2984
Pa 1.8239 0.4949 3.5846
O 2.9450 1.8177 -0.8183
O 0.0000 0.0000 0.0000
H 3.3110 -0.7118 1.4195
```

Calculated values
- spin magnetization (μB per cell) = 0.0
- total energy (Ha/atom) = -0.2882
- calculated volume (Å³ per cell) = 125.6



Record 13
Density functional theory data (PBE-GGA) for PaHO4 after structural relaxation.

Geometry as extended XYZ:
```
12
Lattice="5.8579 -0.4753 -1.7724 -3.0363 4.8430 -1.5166 0.0357 0.2686 6.0980" Properties=species:S:1:pos:R:3 pbc="T T T"
Pa 1.6717 0.4876 3.4851
O 1.9116 2.7801 3.9697
O 2.7667 3.6121 0.6562
O 0.9457 1.8562 -1.1607
O -0.5895 4.3965 3.9442
O 0.0906 1.0242 2.1529
H -0.2312 2.6084 1.3964
O 3.1991 1.1250 1.8304
O -0.3418 3.5113 0.9786
H 3.0885 2.0279 1.4126
Pa 1.1856 4.1487 -0.6760
O 3.4468 0.2398 -1.1351
```

Calculated values
- spin magnetization (μB per cell) = 0.0
- total energy (Ha/atom) = -0.2808
- calculated volume (Å³ per cell) = 168.4